Record 1
CaAc5In3 | GGA-PBE | optimized geometry

Output
- DFT formation energy (eV per atom) = -0.2993

abc: 10.1664 10.1664 7.3815
angles: 90.00 90.00 120.00
Atoms (fractional coordinates):
1 Ca 0.0000 0.0000 0.0000
2 Ca 0.0000 0.0000 0.5000
3 Ac 0.0000 0.3323 0.2500
4 Ac 0.0000 0.6677 0.7500
5 Ac 0.3323 0.0000 0.2500
6 Ac 0.3323 0.3323 0.7500
7 Ac 0.3333 0.6667 0.0000
8 Ac 0.3333 0.6667 0.5000
9 Ac 0.6667 0.3333 0.0000
10 Ac 0.6667 0.3333 0.5000
11 Ac 0.6677 0.0000 0.7500
12 Ac 0.6677 0.6677 0.2500
13 In 0.0000 0.3300 0.7500
14 In 0.0000 0.6700 0.2500
15 In 0.3300 0.0000 0.7500
16 In 0.3300 0.3300 0.2500
17 In 0.6700 0.0000 0.2500
18 In 0.6700 0.6700 0.7500

---

Record 2
Ho3Cu5O12 | GGA-PBE | optimized geometry

Output
- formation energy (no corrections) (eV per atom) = -1.558

abc: 10.6536 10.6536 10.6536
angles: 109.47 109.47 109.47
Atoms (fractional coordinates):
1 Ho 0.1250 0.2500 0.3750
2 Ho 0.1250 0.3750 0.7500
3 Ho 0.2500 0.3750 0.1250
4 Ho 0.2500 0.8750 0.6250
5 Ho 0.3750 0.1250 0.2500
6 Ho 0.3750 0.7500 0.1250
7 Ho 0.6250 0.2500 0.8750
8 Ho 0.6250 0.8750 0.7500
9 Ho 0.7500 0.1250 0.3750
10 Ho 0.7500 0.6250 0.8750
11 Ho 0.8750 0.6250 0.2500
12 Ho 0.8750 0.7500 0.6250
13 Cu 0.0000 0.0000 0.0000
14 Cu 0.0000 0.0000 0.5000
15 Cu 0.0000 0.5000 0.0000
16 Cu 0.0000 0.5000 0.5000
17 Cu 0.1250 0.7500 0.8750
18 Cu 0.1250 0.8750 0.2500
19 Cu 0.2500 0.1250 0.8750
20 Cu 0.2500 0.6250 0.3750
21 Cu 0.3750 0.2500 0.6250
22 Cu 0.3750 0.6250 0.7500
23 Cu 0.5000 0.0000 0.0000
24 Cu 0.5000 0.0000 0.5000
25 Cu 0.5000 0.5000 0.0000
26 Cu 0.5000 0.5000 0.5000
27 Cu 0.6250 0.3750 0.2500
28 Cu 0.6250 0.7500 0.3750
29 Cu 0.7500 0.3750 0.6250
30 Cu 0.7500 0.8750 0.1250
31 Cu 0.8750 0.1250 0.7500
32 Cu 0.8750 0.2500 0.1250
33 O 0.0317 0.2038 0.1256
34 O 0.0317 0.3279 0.9061
35 O 0.0782 0.7038 0.6721
36 O 0.0782 0.8744 0.4061
37 O 0.0939 0.6256 0.4218
38 O 0.0939 0.9683 0.6721
39 O 0.1256 0.0317 0.2038
40 O 0.1256 0.5939 0.9218
41 O 0.1721 0.2038 0.5782
42 O 0.1721 0.4683 0.5939
43 O 0.2038 0.1256 0.0317
44 O 0.2038 0.5782 0.1721
45 O 0.2962 0.3279 0.9218
46 O 0.2962 0.4683 0.3744
47 O 0.3279 0.9061 0.0317
48 O 0.3279 0.9218 0.2962
49 O 0.3744 0.2962 0.4683
50 O 0.3744 0.5782 0.9061
51 O 0.4061 0.0782 0.8744
52 O 0.4061 0.8279 0.5317
53 O 0.4218 0.0939 0.6256
54 O 0.4218 0.8279 0.7962
55 O 0.4683 0.3744 0.2962
56 O 0.4683 0.5939 0.1721
57 O 0.5317 0.4061 0.8279
58 O 0.5317 0.6256 0.7038
59 O 0.5782 0.1721 0.2038
60 O 0.5782 0.9061 0.3744
61 O 0.5939 0.1721 0.4683
62 O 0.5939 0.9218 0.1256
63 O 0.6256 0.4218 0.0939
64 O 0.6256 0.7038 0.5317
65 O 0.6721 0.0782 0.7038
66 O 0.6721 0.0939 0.9683
67 O 0.7038 0.5317 0.6256
68 O 0.7038 0.6721 0.0782
69 O 0.7962 0.4218 0.8279
70 O 0.7962 0.8744 0.9683
71 O 0.8279 0.5317 0.4061
72 O 0.8279 0.7962 0.4218
73 O 0.8744 0.4061 0.0782
74 O 0.8744 0.9683 0.7962
75 O 0.9061 0.0317 0.3279
76 O 0.9061 0.3744 0.5782
77 O 0.9218 0.1256 0.5939
78 O 0.9218 0.2962 0.3279
79 O 0.9683 0.6721 0.0939
80 O 0.9683 0.7962 0.8744

---

Record 3
NaCaGa | GGA-PBE | optimized geometry

Output
- DFT formation energy (eV per atom) = -0.2611

abc: 10.1197 10.1197 4.3555
angles: 90.00 90.00 155.93
Atoms (fractional coordinates):
1 Na 0.1992 0.8008 0.7500
2 Na 0.8008 0.1992 0.2500
3 Ca 0.4188 0.5812 0.7500
4 Ca 0.5812 0.4188 0.2500
5 Ga 0.0386 0.9614 0.7500
6 Ga 0.9614 0.0386 0.2500

---

Repeat the third record exactly.
NaCaGa | GGA-PBE | optimized geometry

Output
- DFT formation energy (eV per atom) = -0.2611

abc: 10.1197 10.1197 4.3555
angles: 90.00 90.00 155.93
Atoms (fractional coordinates):
1 Na 0.1992 0.8008 0.7500
2 Na 0.8008 0.1992 0.2500
3 Ca 0.4188 0.5812 0.7500
4 Ca 0.5812 0.4188 0.2500
5 Ga 0.0386 0.9614 0.7500
6 Ga 0.9614 0.0386 0.2500

---

Repeat the first record exactly.
CaAc5In3 | GGA-PBE | optimized geometry

Output
- DFT formation energy (eV per atom) = -0.2993

abc: 10.1664 10.1664 7.3815
angles: 90.00 90.00 120.00
Atoms (fractional coordinates):
1 Ca 0.0000 0.0000 0.0000
2 Ca 0.0000 0.0000 0.5000
3 Ac 0.0000 0.3323 0.2500
4 Ac 0.0000 0.6677 0.7500
5 Ac 0.3323 0.0000 0.2500
6 Ac 0.3323 0.3323 0.7500
7 Ac 0.3333 0.6667 0.0000
8 Ac 0.3333 0.6667 0.5000
9 Ac 0.6667 0.3333 0.0000
10 Ac 0.6667 0.3333 0.5000
11 Ac 0.6677 0.0000 0.7500
12 Ac 0.6677 0.6677 0.2500
13 In 0.0000 0.3300 0.7500
14 In 0.0000 0.6700 0.2500
15 In 0.3300 0.0000 0.7500
16 In 0.3300 0.3300 0.2500
17 In 0.6700 0.0000 0.2500
18 In 0.6700 0.6700 0.7500